An optimized crystal structure of Nd2InPd4Pb. Source: the Open Quantum Materials Database, functional PBE-GGA.

Properties
Space group: P-3m1, No. 164
VASP energy in eV per atom: -5.309

Geometry as CIF:
```
data_Nd2InPd4Pb
_symmetry_space_group_name_H-M 'P 1'
_symmetry_Int_Tables_number 1
_cell_length_a 4.690
_cell_length_b 4.690
_cell_length_c 9.152
_cell_angle_alpha 90.00
_cell_angle_beta 90.00
_cell_angle_gamma 120.00
loop_
_symmetry_equiv_pos_as_xyz
'x,y,z'
loop_
_atom_site_label
_atom_site_fract_x
_atom_site_fract_y
_atom_site_fract_z
_atom_site_occupancy
In1 0.000 0.000 0.000 1
Nd1 0.333 0.667 0.249 1
Nd2 0.667 0.333 0.751 1
Pb1 0.000 0.000 0.500 1
Pd1 0.667 0.333 0.081 1
Pd2 0.667 0.333 0.408 1
Pd3 0.333 0.667 0.592 1
Pd4 0.333 0.667 0.919 1
```